PuNpP2 | PBE | relaxed

## Properties
As for the energy: -10.494 eV per atom. The density of states at the Fermi level is 17.0 states/eV/cell. For the calculated volume, the calculation gives 22.11 Å³ per atom. For the formation energy, the calculation gives -0.971 eV/atom.

a b c (Å): 3.969 3.969 6.878
angles (deg): 90.00 106.77 120.00
Fractional coordinates of all 4 atoms:
Pu: 0.000 0.500 0.500
Np: 0.000 0.000 0.000
P: 0.502 0.251 0.753
P: 0.498 0.749 0.247